No. 1
Material: LaPt12
Method: DFT, PBE-GGA
State: relaxed

ΔH_f (0 K) = -0.285 eV/atom
total magnetic moment = 0.000 μB/atom

Unit cell a=9.1117 b=9.1117 c=5.4334 alpha=90.00 beta=90.00 gamma=90.00
Space group I4/mmm (No. 139)
Inequivalent atoms, fractional coordinates:
La: 0.0000 0.0000 0.0000 x2
Pt: 0.0000 0.2189 0.5000 x8
Pt: 0.0000 0.3466 0.0000 x8
Pt: 0.2500 0.2500 0.2500 x8



No. 2
Material: Li4Ag3Ge
Method: DFT, PBE-GGA
State: relaxed

distance to the lowest polymorph of the same formula = 163 meV per atom
ΔH_f (0 K) = -0.061 eV/atom
total magnetic moment = 0.000 μB/atom

Unit cell a=20.8327 b=3.1451 c=4.2798 alpha=90.00 beta=101.22 gamma=90.00
Space group C2/m (No. 12)
Inequivalent atoms, fractional coordinates:
Li: 0.1018 0.0000 0.0977 x4
Li: 0.2238 0.0000 0.2252 x4
Ag: 0.0000 0.5000 0.0000 x2
Ag: 0.1437 0.5000 0.6380 x4
Ge: 0.0000 0.0000 0.5000 x2



No. 3
Material: HfCu2Te6
Method: DFT, PBE-GGA
State: relaxed

total magnetic moment = 0.000 μB/atom
total DFT energy (no corrections) = -4.29 eV/atom

Unit cell a=13.0358 b=4.1003 c=9.9614 alpha=90.00 beta=107.05 gamma=90.00
Space group C2/m (No. 12)
Inequivalent atoms, fractional coordinates:
Hf: 0.0000 0.0000 0.0000 x2
Cu: 0.2068 0.0000 0.6624 x4
Te: 0.0279 0.0000 0.7236 x4
Te: 0.1482 0.5000 0.4647 x4
Te: 0.1608 0.5000 0.0806 x4



No. 4
Material: Li2TlAgCl6
Method: DFT, PBE-GGA
State: relaxed

total magnetic moment = 0.000 μB/atom
total DFT energy (no corrections) = -3.08 eV/atom

Unit cell a=6.6218 b=6.6263 c=7.1648 alpha=90.05 beta=117.48 gamma=119.96
Space group P1 (No. 1)
Inequivalent atoms, fractional coordinates:
Li: 0.0000 0.0000 0.0000 x1
Li: 0.0104 0.5058 0.5148 x1
Tl: 0.6222 0.3115 0.9331 x1
Ag: 0.5943 0.7978 0.3919 x1
Cl: 0.1072 0.3790 0.2219 x1
Cl: 0.1287 0.2246 0.7239 x1
Cl: 0.4934 0.1153 0.2220 x1
Cl: 0.5001 0.9046 0.7237 x1
Cl: 0.8202 0.5961 0.7242 x1
Cl: 0.8433 0.7291 0.2222 x1



No. 5
Material: NdYTm5Sc2
Method: DFT, PBE-GGA
State: relaxed

ΔH_f (0 K) = 0.176 eV/atom
total magnetic moment = 0.000 μB/atom

Unit cell a=5.5410 b=21.4751 c=9.2177 alpha=90.00 beta=90.00 gamma=90.00
Space group Cmc2_1 (No. 36)
Inequivalent atoms, fractional coordinates:
Nd: 0.0000 0.1859 0.0000 x4
Y: 0.0000 0.4039 0.5981 x4
Tm: 0.0000 0.0060 0.9926 x4
Tm: 0.0000 0.2643 0.6805 x4
Tm: 0.0000 0.3093 0.2947 x4
Tm: 0.0000 0.3926 0.9702 x4
Tm: 0.0000 0.4682 0.2671 x4
Sc: 0.0000 0.1128 0.6940 x4
Sc: 0.0000 0.1447 0.3276 x4



No. 6
Material: ErAl12Cu4
Method: DFT, PBE-GGA
State: relaxed

ΔH_f (0 K) = 0.069 eV/atom
total magnetic moment = 0.000 μB/atom

Unit cell a=8.5634 b=8.5634 c=8.5634 alpha=90.00 beta=90.00 gamma=90.00
Space group Im-3 (No. 204)
Inequivalent atoms, fractional coordinates:
Er: 0.0000 0.0000 0.0000 x2
Al: 0.0000 0.3407 0.1639 x24
Cu: 0.2500 0.2500 0.2500 x8



No. 7
Material: Ce5NdIr4
Method: DFT, PBE-GGA
State: relaxed

ΔH_f (0 K) = -0.559 eV/atom
total magnetic moment = 0.341 μB/atom

Unit cell a=4.2370 b=7.6474 c=16.7691 alpha=90.00 beta=90.00 gamma=90.00
Space group Immm (No. 71)
Inequivalent atoms, fractional coordinates:
Ce: 0.0000 0.0000 0.0000 x2
Ce: 0.0000 0.2410 0.3340 x8
Nd: 0.0000 0.5000 0.0000 x2
Ir: 0.0000 0.2727 0.5000 x4
Ir: 0.0000 0.5000 0.1998 x4



No. 8
Material: BaCrP2S8
Method: DFT, PBE-GGA
State: relaxed

total magnetic moment = 0.163 μB/atom
total DFT energy (no corrections) = -5.20 eV/atom

Unit cell a=5.9124 b=5.9124 c=8.7480 alpha=90.00 beta=90.00 gamma=120.00
Space group P-3 (No. 147)
Inequivalent atoms, fractional coordinates:
Ba: 0.0000 0.0000 0.0000 x1
Cr: 0.0000 0.0000 0.5000 x1
P: 0.3333 0.6667 0.7232 x2
S: 0.0035 0.6786 0.3383 x6
S: 0.3333 0.6667 0.9540 x2



No. 9
Material: ScTl2Os
Method: DFT, PBE-GGA
State: relaxed

distance to the lowest polymorph of the same formula = 152 meV per atom
ΔH_f (0 K) = 0.299 eV/atom
total magnetic moment = 0.000 μB/atom

Unit cell a=6.8026 b=6.8026 c=6.8026 alpha=90.00 beta=90.00 gamma=90.00
Space group Fm-3m (No. 225)
Inequivalent atoms, fractional coordinates:
Sc: 0.0000 0.0000 0.0000 x4
Tl: 0.2500 0.2500 0.2500 x8
Os: 0.0000 0.0000 0.5000 x4



No. 10
Material: LiH2Rh
Method: DFT, PBE-GGA
State: relaxed

distance to the lowest polymorph of the same formula = 133 meV per atom
total magnetic moment = 0.000 μB/atom

Unit cell a=3.8963 b=3.8963 c=9.2720 alpha=90.00 beta=90.00 gamma=90.00
Space group I-42d (No. 122)
Inequivalent atoms, fractional coordinates:
Li: 0.0000 0.0000 0.0000 x4
H: 0.2066 0.2500 0.6250 x8
Rh: 0.0000 0.0000 0.5000 x4



No. 11
Material: Ba2As2Br
Method: DFT, PBE-GGA
State: relaxed

distance to the lowest polymorph of the same formula = 0 meV per atom
total magnetic moment = 0.000 μB/atom

Unit cell a=8.9757 b=17.7183 c=4.7205 alpha=90.00 beta=90.00 gamma=90.00
Space group Imma (No. 74)
Inequivalent atoms, fractional coordinates:
Ba: 0.2500 0.1052 0.2500 x8
As: 0.0000 0.0333 0.7496 x8
Br: 0.0000 0.2500 0.2456 x4



No. 12
Material: NaPrEr2Hg4
Method: DFT, PBE-GGA
State: relaxed

ΔH_f (0 K) = -0.393 eV/atom
total magnetic moment = 0.000 μB/atom

Unit cell a=5.2019 b=5.2019 c=26.4876 alpha=90.00 beta=90.00 gamma=120.00
Space group R-3m (No. 166, hexagonal axes)
Inequivalent atoms, fractional coordinates:
Na: 0.0000 0.0000 0.0000 x3
Pr: 0.0000 0.0000 0.5000 x3
Er: 0.0000 0.0000 0.2559 x6
Hg: 0.0000 0.0000 0.1191 x6
Hg: 0.0000 0.0000 0.3740 x6